# 1
Density functional theory data (GGA-PBE) for Sr2YRu after structural relaxation.

```
data_Sr2YRu
_cell_length_a 3.6809
_cell_length_b 3.6809
_cell_length_c 33.3314
_cell_angle_alpha 90.00
_cell_angle_beta 90.00
_cell_angle_gamma 120.00
_space_group_name_H-M_alt 'R -3 m'
_space_group_IT_number 166
_space_group_name_Hall '-R 3 2"'
loop_
_atom_site_label
_atom_site_type_symbol
_atom_site_fract_x
_atom_site_fract_y
_atom_site_fract_z
_atom_site_occupancy
Sr1 Sr 0.0000 0.0000 0.2296 1
Y1 Y 0.0000 0.0000 0.0000 1
Ru1 Ru 0.0000 0.0000 0.5000 1
```

Summary:
ΔE to the lowest computed polymorph ... 503 meV/atom
Total magnetization ... 2.6 μB/cell
Energy ... -50.595 eV/cell
Energy relative to the elements ... 216 kJ/mol of formula units
N(E_F) ... 15.573 states/eV/cell

# 2
Density functional theory data (GGA-PBE) for NaTl2AgS2 after structural relaxation.

```
data_NaTl2AgS2
_cell_length_a 6.387
_cell_length_b 15.099
_cell_length_c 6.254
_cell_angle_alpha 90.00
_cell_angle_beta 90.00
_cell_angle_gamma 90.00
_space_group_name_H-M_alt 'I b a m'
_space_group_IT_number 72
_space_group_name_Hall '-I 2 2c'
loop_
_atom_site_label
_atom_site_type_symbol
_atom_site_fract_x
_atom_site_fract_y
_atom_site_fract_z
_atom_site_occupancy
Na1 Na 0.000 0.000 0.250 1
Tl1 Tl 0.220 0.324 0.000 1
Ag1 Ag 0.000 0.500 0.250 1
S1 S 0.237 0.395 0.500 1
```

Summary:
Energy relative to the elements, uncorrected ... -413 meV per atom
Total magnetization ... 0.0 μB/cell
Energy ... -78.538 eV/cell